Entry from the Alexandria database: a crystal of YBr2 relaxed with PBEsol (meta-GGA SCAN).

Cell lengths 5.035, 5.035, 6.512 Å; angles 90.00, 90.00, 120.00 degrees
Element x y z (fractional)
Br: 0.667 0.333 0.750
Br: 0.333 0.667 0.250
Y: 0.667 0.333 0.250
Y: 0.333 0.667 0.750
Br: 0.000 0.000 0.500
Br: 0.000 0.000 0.000

Summary:
Volume ... 143 Å³ per cell
ΔE_f (raw) ... -126.8 kJ/mol of atoms
DOS(E_F) ... 3.75 states/eV/cell